[1]
# GGA-PBE TcNi2Ir2, relaxed
data_TcNi2Ir2
_space_group_name_H-M_alt 'P 1'
_space_group_IT_number 1
_cell_length_a 6.9371
_cell_length_b 6.9371
_cell_length_c 2.7652
_cell_angle_alpha 90.00
_cell_angle_beta 90.00
_cell_angle_gamma 90.00
loop_
_space_group_symop_operation_xyz
'x,y,z'
loop_
_atom_site_label
_atom_site_type_symbol
_atom_site_fract_x
_atom_site_fract_y
_atom_site_fract_z
Tc1 Tc 0.0000 0.0000 0.0000
Tc2 Tc 0.5000 0.5000 0.0000
Ni1 Ni 0.1244 0.3756 0.0000
Ni2 Ni 0.3756 0.8756 0.0000
Ni3 Ni 0.6244 0.1244 0.0000
Ni4 Ni 0.8756 0.6244 0.0000
Ir1 Ir 0.1736 0.6736 0.5000
Ir2 Ir 0.3264 0.1736 0.5000
Ir3 Ir 0.6736 0.8264 0.5000
Ir4 Ir 0.8264 0.3264 0.5000
# calculated volume = 133 Å³ per cell
# formation enthalpy at 0 K = 4.38 kcal/mol of atoms
# uncorrected energy = -7.74 eV/atom

---

[2]
# GGA-PBE Tc2Ni5Ir2, relaxed
data_Tc2Ni5Ir2
_space_group_name_H-M_alt 'P 1'
_space_group_IT_number 1
_cell_length_a 7.5340
_cell_length_b 7.5340
_cell_length_c 7.5340
_cell_angle_alpha 89.20
_cell_angle_beta 101.06
_cell_angle_gamma 145.30
loop_
_space_group_symop_operation_xyz
'x,y,z'
loop_
_atom_site_label
_atom_site_type_symbol
_atom_site_fract_x
_atom_site_fract_y
_atom_site_fract_z
Tc1 Tc 0.0000 0.0000 0.0000
Tc2 Tc 0.0000 0.5000 0.5000
Tc3 Tc 0.0112 0.2086 0.3027
Tc4 Tc 0.9059 0.7086 0.6973
Ni1 Ni 0.1723 0.6195 0.8374
Ni2 Ni 0.1723 0.8349 0.0528
Ni3 Ni 0.2400 0.1781 0.5619
Ni4 Ni 0.4839 0.2435 0.3514
Ni5 Ni 0.4839 0.6326 0.7404
Ni6 Ni 0.6162 0.6781 0.4381
Ni7 Ni 0.7821 0.1195 0.9472
Ni8 Ni 0.7821 0.3349 0.1626
Ni9 Ni 0.8922 0.1326 0.6486
Ni10 Ni 0.8922 0.7435 0.2596
Ir1 Ir 0.4310 0.6033 0.0792
Ir2 Ir 0.4310 0.8518 0.3277
Ir3 Ir 0.5241 0.1033 0.6723
Ir4 Ir 0.5241 0.3518 0.9208
# calculated volume = 231 Å³ per cell
# formation enthalpy at 0 K = 2.37 kcal/mol of atoms
# uncorrected energy = -7.38 eV/atom

---

[3]
# GGA-PBE Tc2NiIr, relaxed
data_Tc2NiIr
_space_group_name_H-M_alt 'P 1'
_space_group_IT_number 1
_cell_length_a 4.6322
_cell_length_b 4.6322
_cell_length_c 4.6967
_cell_angle_alpha 98.73
_cell_angle_beta 98.73
_cell_angle_gamma 33.61
loop_
_space_group_symop_operation_xyz
'x,y,z'
loop_
_atom_site_label
_atom_site_type_symbol
_atom_site_fract_x
_atom_site_fract_y
_atom_site_fract_z
Tc1 Tc 0.0000 0.0000 0.0000
Tc2 Tc 0.2467 0.2467 0.7372
Ni1 Ni 0.7485 0.7485 0.2370
Ir1 Ir 0.5023 0.5023 0.4888
# calculated volume = 55 Å³ per cell
# formation enthalpy at 0 K = -0.72 kcal/mol of atoms
# uncorrected energy = -8.87 eV/atom

---

[4]
# GGA-PBE TcNi2Ir, relaxed
data_TcNi2Ir
_space_group_name_H-M_alt 'P 1'
_space_group_IT_number 1
_cell_length_a 4.1561
_cell_length_b 4.1561
_cell_length_c 4.1561
_cell_angle_alpha 60.00
_cell_angle_beta 60.00
_cell_angle_gamma 60.00
loop_
_space_group_symop_operation_xyz
'x,y,z'
loop_
_atom_site_label
_atom_site_type_symbol
_atom_site_fract_x
_atom_site_fract_y
_atom_site_fract_z
Tc1 Tc 0.0000 0.0000 0.0000
Ni1 Ni 0.2500 0.2500 0.2500
Ni2 Ni 0.7500 0.7500 0.7500
Ir1 Ir 0.5000 0.5000 0.5000
# calculated volume = 51 Å³ per cell
# formation enthalpy at 0 K = 2.70 kcal/mol of atoms
# uncorrected energy = -7.58 eV/atom

---

[5]
# GGA-PBE Tc3NiIr, relaxed
data_Tc3NiIr
_space_group_name_H-M_alt 'P 1'
_space_group_IT_number 1
_cell_length_a 4.6518
_cell_length_b 4.6518
_cell_length_c 4.6518
_cell_angle_alpha 90.00
_cell_angle_beta 90.00
_cell_angle_gamma 90.00
loop_
_space_group_symop_operation_xyz
'x,y,z'
loop_
_atom_site_label
_atom_site_type_symbol
_atom_site_fract_x
_atom_site_fract_y
_atom_site_fract_z
Tc1 Tc 0.0000 0.0000 0.5000
Tc2 Tc 0.0000 0.5000 0.0000
Tc3 Tc 0.5000 0.0000 0.0000
Ni1 Ni 0.5000 0.5000 0.5000
Ir1 Ir 0.0000 0.0000 0.0000
# calculated volume = 101 Å³ per cell
# formation enthalpy at 0 K = 46.27 kcal/mol of atoms
# uncorrected energy = -7.14 eV/atom

---

[6]
# GGA-PBE Tc2NiIr, relaxed
data_Tc2NiIr
_space_group_name_H-M_alt 'P 1'
_space_group_IT_number 1
_cell_length_a 4.7600
_cell_length_b 4.7600
_cell_length_c 4.7600
_cell_angle_alpha 134.14
_cell_angle_beta 134.14
_cell_angle_gamma 66.87
loop_
_space_group_symop_operation_xyz
'x,y,z'
loop_
_atom_site_label
_atom_site_type_symbol
_atom_site_fract_x
_atom_site_fract_y
_atom_site_fract_z
Tc1 Tc 0.2500 0.7500 0.5000
Tc2 Tc 0.7500 0.2500 0.5000
Ni1 Ni 0.0000 0.0000 0.0000
Ir1 Ir 0.5000 0.5000 0.0000
# calculated volume = 55 Å³ per cell
# formation enthalpy at 0 K = -0.83 kcal/mol of atoms
# uncorrected energy = -8.88 eV/atom

---

[7]
# GGA-PBE Tc2NiIr, relaxed
data_Tc2NiIr
_space_group_name_H-M_alt 'P 1'
_space_group_IT_number 1
_cell_length_a 4.2855
_cell_length_b 4.2855
_cell_length_c 4.2855
_cell_angle_alpha 60.00
_cell_angle_beta 60.00
_cell_angle_gamma 60.00
loop_
_space_group_symop_operation_xyz
'x,y,z'
loop_
_atom_site_label
_atom_site_type_symbol
_atom_site_fract_x
_atom_site_fract_y
_atom_site_fract_z
Tc1 Tc 0.0000 0.0000 0.0000
Tc2 Tc 0.2500 0.2500 0.2500
Ni1 Ni 0.7500 0.7500 0.7500
Ir1 Ir 0.5000 0.5000 0.5000
# calculated volume = 56 Å³ per cell
# formation enthalpy at 0 K = 4.41 kcal/mol of atoms
# uncorrected energy = -8.65 eV/atom

---

[8]
# GGA-PBE TcNi2Ir, relaxed
data_TcNi2Ir
_space_group_name_H-M_alt 'P 1'
_space_group_IT_number 1
_cell_length_a 2.6253
_cell_length_b 2.6253
_cell_length_c 7.4035
_cell_angle_alpha 90.00
_cell_angle_beta 90.00
_cell_angle_gamma 90.00
loop_
_space_group_symop_operation_xyz
'x,y,z'
loop_
_atom_site_label
_atom_site_type_symbol
_atom_site_fract_x
_atom_site_fract_y
_atom_site_fract_z
Tc1 Tc 0.0000 0.0000 0.0000
Ni1 Ni 0.5000 0.5000 0.2499
Ni2 Ni 0.5000 0.5000 0.7501
Ir1 Ir 0.0000 0.0000 0.5000
# calculated volume = 51 Å³ per cell
# formation enthalpy at 0 K = 0.83 kcal/mol of atoms
# uncorrected energy = -7.66 eV/atom

---

[9]
# GGA-PBE Tc2NiIr, relaxed
data_Tc2NiIr
_space_group_name_H-M_alt 'P 1'
_space_group_IT_number 1
_cell_length_a 2.6973
_cell_length_b 2.6973
_cell_length_c 7.5501
_cell_angle_alpha 90.00
_cell_angle_beta 90.00
_cell_angle_gamma 90.00
loop_
_space_group_symop_operation_xyz
'x,y,z'
loop_
_atom_site_label
_atom_site_type_symbol
_atom_site_fract_x
_atom_site_fract_y
_atom_site_fract_z
Tc1 Tc 0.0000 0.0000 0.0000
Tc2 Tc 0.5000 0.5000 0.2720
Ni1 Ni 0.5000 0.5000 0.7682
Ir1 Ir 0.0000 0.0000 0.5192
# calculated volume = 55 Å³ per cell
# formation enthalpy at 0 K = -0.29 kcal/mol of atoms
# uncorrected energy = -8.86 eV/atom

---

[10]
# GGA-PBE TcNi2Ir, relaxed
data_TcNi2Ir
_space_group_name_H-M_alt 'P 1'
_space_group_IT_number 1
_cell_length_a 2.6388
_cell_length_b 3.7139
_cell_length_c 5.2044
_cell_angle_alpha 90.00
_cell_angle_beta 90.00
_cell_angle_gamma 90.00
loop_
_space_group_symop_operation_xyz
'x,y,z'
loop_
_atom_site_label
_atom_site_type_symbol
_atom_site_fract_x
_atom_site_fract_y
_atom_site_fract_z
Tc1 Tc 0.0000 0.0000 0.0000
Ni1 Ni 0.5000 0.5000 0.2453
Ni2 Ni 0.5000 0.5000 0.7547
Ir1 Ir 0.0000 0.0000 0.5000
# calculated volume = 51 Å³ per cell
# formation enthalpy at 0 K = 0.46 kcal/mol of atoms
# uncorrected energy = -7.68 eV/atom

---

[11]
# GGA-PBE TcNi2Ir, relaxed
data_TcNi2Ir
_space_group_name_H-M_alt 'P 1'
_space_group_IT_number 1
_cell_length_a 4.5430
_cell_length_b 4.5430
_cell_length_c 4.5430
_cell_angle_alpha 131.83
_cell_angle_beta 131.83
_cell_angle_gamma 70.49
loop_
_space_group_symop_operation_xyz
'x,y,z'
loop_
_atom_site_label
_atom_site_type_symbol
_atom_site_fract_x
_atom_site_fract_y
_atom_site_fract_z
Tc1 Tc 0.0000 0.0000 0.0000
Ni1 Ni 0.2500 0.7500 0.5000
Ni2 Ni 0.7500 0.2500 0.5000
Ir1 Ir 0.5000 0.5000 0.0000
# calculated volume = 51 Å³ per cell
# formation enthalpy at 0 K = 0.28 kcal/mol of atoms
# uncorrected energy = -7.69 eV/atom

---

[12]
# GGA-PBE Tc2NiIr, relaxed
data_Tc2NiIr
_space_group_name_H-M_alt 'P 1'
_space_group_IT_number 1
_cell_length_a 3.1212
_cell_length_b 3.1212
_cell_length_c 5.6722
_cell_angle_alpha 90.00
_cell_angle_beta 90.00
_cell_angle_gamma 90.00
loop_
_space_group_symop_operation_xyz
'x,y,z'
loop_
_atom_site_label
_atom_site_type_symbol
_atom_site_fract_x
_atom_site_fract_y
_atom_site_fract_z
Tc1 Tc 0.0000 0.0000 0.0000
Tc2 Tc 0.5000 0.5000 0.2538
Ni1 Ni 0.5000 0.5000 0.7764
Ir1 Ir 0.0000 0.0000 0.5409
# calculated volume = 55 Å³ per cell
# formation enthalpy at 0 K = 3.08 kcal/mol of atoms
# uncorrected energy = -8.71 eV/atom

---

Computed values of magnetic moment (unit: Bohr magnetons per cell) for the preceding records, in sequence: 0.0, 0.0, 0.0, 0.0, 2.7, 0.0, 0.0, 0.0, 0.0, 0.0, 0.0, 0.0.